A plane-wave DFT calculation with PBE with a Hubbard U was carried out for crystalline SrLa3Mn3CrO12 at its relaxed geometry.

The structure in POSCAR format:
```
SrLa3Mn3CrO12
1.0
2.800 1.616 8.979
-2.800 1.616 8.979
0.000 -3.233 8.979
Sr La Mn Cr O
1 3 3 1 12
Direct
0.000 0.000 0.000 Sr
0.252 0.252 0.252 La
0.501 0.501 0.501 La
0.748 0.748 0.748 La
0.125 0.125 0.125 Mn
0.375 0.375 0.375 Mn
0.625 0.625 0.625 Mn
0.875 0.875 0.875 Cr
0.070 0.933 0.497 O
0.186 0.314 0.758 O
0.256 0.675 0.813 O
0.314 0.758 0.186 O
0.456 0.990 0.551 O
0.497 0.070 0.933 O
0.551 0.456 0.990 O
0.675 0.813 0.256 O
0.758 0.186 0.314 O
0.813 0.256 0.675 O
0.933 0.497 0.070 O
0.990 0.551 0.456 O
```

Calculated values
Its density of states at the Fermi level is 0.3 states/eV/f.u. The value obtained for the final energy is -7.807 eV per atom. The calculation puts the magnetization at 0.700 μB per atom.